{"formula": "TlFe2Ru", "functional": "PBE-GGA", "state": "optimized geometry", "lattice_angstrom": [[5.0937, -0.0032, 0.3100], [4.0992, 3.0236, 0.3100], [1.6418, 0.5394, 4.0358]], "species": ["Fe", "Ru", "Tl", "Fe"], "frac_coords": [[0.0185, 0.0185, 0.9814], [0.4858, 0.4858, 0.5143], [0.2575, 0.2575, 0.2425], [0.7383, 0.7383, 0.7617]], "ef_ev_per_atom": 0.447, "spacegroup": "Imm2", "polymorph_energy_mev_per_atom": 59}